Here is crystalline Ca4MgAl3 at its relaxed geometry from the Alexandria database. Energies are from PBE. Values from VASP.

The structure in Quantum ESPRESSO input format:
```
&SYSTEM
  ibrav = 0, nat = 8, ntyp = 3
/
ATOMIC_SPECIES
Ca 40.08 Ca.upf
Mg 24.30 Mg.upf
Al 26.98 Al.upf
CELL_PARAMETERS angstrom
2.661 1.536 8.704
-2.661 1.536 8.704
0.000 -3.073 8.704
ATOMIC_POSITIONS crystal
Ca 0.122 0.122 0.122
Ca 0.372 0.372 0.372
Ca 0.628 0.628 0.628
Ca 0.878 0.878 0.878
Mg 0.500 0.500 0.500
Al 0.000 0.000 0.000
Al 0.247 0.247 0.247
Al 0.753 0.753 0.753
```

Summary:
E_form ... -1.4 eV per formula unit
Offset from the most stable computed form ... 43 meV per atom